First-principles (GGA-PBE) data for a relaxed LaSc2Ta crystal, as listed in Alexandria.

Results
size of the total moment = 0.000 Bohr magnetons per cell
volume = 97.9 Å³ per cell
DFT total energy = -7.094 eV per atom

Cell lengths 5.455, 5.455, 6.033 Å; angles 84.28, 84.28, 33.25 degrees
Positions (direct):
La1 0.250 0.250 0.250
Sc1 0.012 0.012 0.966
Sc2 0.488 0.488 0.534
Ta1 0.750 0.750 0.750